Entry 1:
This record from the Alexandria database describes Tl2NiSe after structural relaxation. The functional is PBE.

The structure in extended XYZ format:
```
4
Lattice="-2.297 2.238 2.822 -0.622 -3.584 2.336 4.460 -0.665 4.158" Properties=species:S:1:pos:R:3 pbc="T T T"
Ni 2.133 -2.710 3.885
Tl 3.538 -4.107 6.137
Se 1.587 -1.462 5.684
Tl 0.041 -0.107 3.351
```

Calculated values
energy relative to the elements, uncorrected	-0.064	eV/atom
D(E_F)	1.7	states/eV per cell

Entry 2:
This record from the Alexandria database describes Re2PtW after structural relaxation. The functional is PBE.

The structure in extended XYZ format:
```
4
Lattice="3.932 0.000 0.000 0.000 3.937 0.000 0.000 0.000 3.937" Properties=species:S:1:pos:R:3 pbc="T T T"
Re 0.000 0.000 0.000
Pt 1.966 0.000 1.968
W 1.966 1.968 0.000
Re 0.000 1.968 1.968
```

Calculated values
ΔE_f	-0.1062	eV per atom
D(E_F)	3.0	states/eV per cell